No. 1
Computed, not measured: a relaxed CeYZnCu crystal at the GGA-PBE level of DFT.

Formation energy from the elements   -168 meV per atom
Symmetry   No. 216
D(E_F)   1.974 states/eV/atom

Structure (CIF):
```
data_CeYZnCu
_symmetry_space_group_name_H-M 'P 1'
_symmetry_Int_Tables_number 1
_cell_length_a 5.045
_cell_length_b 5.045
_cell_length_c 5.045
_cell_angle_alpha 60.00
_cell_angle_beta 60.00
_cell_angle_gamma 60.00
loop_
_symmetry_equiv_pos_as_xyz
'x,y,z'
loop_
_atom_site_label
_atom_site_type_symbol
_atom_site_fract_x
_atom_site_fract_y
_atom_site_fract_z
_atom_site_occupancy
Ce1 Ce 0.000 0.000 0.000 1
Y1 Y 0.500 0.500 0.500 1
Zn1 Zn 0.750 0.750 0.750 1
Cu1 Cu 0.250 0.250 0.250 1
```

***

No. 2
Computed, not measured: a relaxed Ac2Nd2Ir crystal at the GGA-PBE level of DFT.

Formation energy from the elements   -193 meV per atom
Symmetry   No. 141
D(E_F)   1.083 states/eV/atom

Structure (CIF):
```
data_Ac2Nd2Ir
_symmetry_space_group_name_H-M 'P 1'
_symmetry_Int_Tables_number 1
_cell_length_a 13.778
_cell_length_b 13.778
_cell_length_c 13.778
_cell_angle_alpha 158.47
_cell_angle_beta 158.47
_cell_angle_gamma 30.63
loop_
_symmetry_equiv_pos_as_xyz
'x,y,z'
loop_
_atom_site_label
_atom_site_type_symbol
_atom_site_fract_x
_atom_site_fract_y
_atom_site_fract_z
_atom_site_occupancy
Ac1 Ac 0.056 0.306 0.750 1
Ac2 Ac 0.306 0.056 0.250 1
Ac3 Ac 0.694 0.944 0.750 1
Ac4 Ac 0.944 0.694 0.250 1
Nd1 Nd 0.188 0.438 0.750 1
Nd2 Nd 0.438 0.188 0.250 1
Nd3 Nd 0.562 0.812 0.750 1
Nd4 Nd 0.812 0.562 0.250 1
Ir1 Ir 0.375 0.625 0.750 1
Ir2 Ir 0.625 0.375 0.250 1
```

***

No. 3
Computed, not measured: a relaxed La3HgN crystal at the GGA-PBE level of DFT.

Symmetry   No. 194
Electronic total energy   -5.0087 eV per atom
D(E_F)   0.599 states/eV/atom

Structure (CIF):
```
data_La3HgN
_symmetry_space_group_name_H-M 'P 1'
_symmetry_Int_Tables_number 1
_cell_length_a 5.303
_cell_length_b 5.303
_cell_length_c 10.342
_cell_angle_alpha 90.00
_cell_angle_beta 90.00
_cell_angle_gamma 120.00
loop_
_symmetry_equiv_pos_as_xyz
'x,y,z'
loop_
_atom_site_label
_atom_site_type_symbol
_atom_site_fract_x
_atom_site_fract_y
_atom_site_fract_z
_atom_site_occupancy
La1 La 0.000 0.000 0.250 1
La2 La 0.000 0.000 0.750 1
La3 La 0.333 0.667 0.054 1
La4 La 0.333 0.667 0.446 1
La5 La 0.667 0.333 0.554 1
La6 La 0.667 0.333 0.946 1
Hg1 Hg 0.333 0.667 0.750 1
Hg2 Hg 0.667 0.333 0.250 1
N1 N 0.000 0.000 0.000 1
N2 N 0.000 0.000 0.500 1
```

***

No. 4
Computed, not measured: a relaxed SrPmSi crystal at the GGA-PBE level of DFT.

Symmetry   No. 129
D(E_F)   0.791 states/eV/atom
Distance to the lowest polymorph of the same formula   0 meV per atom

Structure (CIF):
```
data_SrPmSi
_symmetry_space_group_name_H-M 'P 1'
_symmetry_Int_Tables_number 1
_cell_length_a 4.860
_cell_length_b 4.860
_cell_length_c 8.004
_cell_angle_alpha 90.00
_cell_angle_beta 90.00
_cell_angle_gamma 90.00
loop_
_symmetry_equiv_pos_as_xyz
'x,y,z'
loop_
_atom_site_label
_atom_site_type_symbol
_atom_site_fract_x
_atom_site_fract_y
_atom_site_fract_z
_atom_site_occupancy
Sr1 Sr 0.250 0.250 0.134 1
Sr2 Sr 0.750 0.750 0.866 1
Pm1 Pm 0.250 0.750 0.500 1
Pm2 Pm 0.750 0.250 0.500 1
Si1 Si 0.250 0.250 0.733 1
Si2 Si 0.750 0.750 0.267 1
```

***

No. 5
Computed, not measured: a relaxed La2SeBr crystal at the GGA-PBE level of DFT.

Symmetry   No. 225
D(E_F)   0.735 states/eV/atom
Distance to the lowest polymorph of the same formula   163 meV per atom

Structure (CIF):
```
data_La2SeBr
_symmetry_space_group_name_H-M 'P 1'
_symmetry_Int_Tables_number 1
_cell_length_a 5.285
_cell_length_b 5.285
_cell_length_c 5.285
_cell_angle_alpha 60.00
_cell_angle_beta 60.00
_cell_angle_gamma 60.00
loop_
_symmetry_equiv_pos_as_xyz
'x,y,z'
loop_
_atom_site_label
_atom_site_type_symbol
_atom_site_fract_x
_atom_site_fract_y
_atom_site_fract_z
_atom_site_occupancy
La1 La 0.250 0.250 0.250 1
La2 La 0.750 0.750 0.750 1
Se1 Se 0.000 0.000 0.000 1
Br1 Br 0.500 0.500 0.500 1
```

***

No. 6
Computed, not measured: a relaxed La3PmZn crystal at the GGA-PBE level of DFT.

Formation energy from the elements   -110 meV per atom
Symmetry   No. 2
D(E_F)   1.297 states/eV/atom
Distance to the lowest polymorph of the same formula   0 meV per atom

Structure (CIF):
```
data_La3PmZn
_symmetry_space_group_name_H-M 'P 1'
_symmetry_Int_Tables_number 1
_cell_length_a 3.794
_cell_length_b 8.775
_cell_length_c 10.182
_cell_angle_alpha 102.74
_cell_angle_beta 100.73
_cell_angle_gamma 90.01
loop_
_symmetry_equiv_pos_as_xyz
'x,y,z'
loop_
_atom_site_label
_atom_site_type_symbol
_atom_site_fract_x
_atom_site_fract_y
_atom_site_fract_z
_atom_site_occupancy
La1 La 0.001 0.298 0.004 1
La2 La 0.186 0.379 0.371 1
La3 La 0.196 0.819 0.395 1
La4 La 0.804 0.181 0.605 1
La5 La 0.814 0.621 0.629 1
La6 La 0.999 0.702 0.996 1
Pm1 Pm 0.406 0.963 0.815 1
Pm2 Pm 0.594 0.037 0.185 1
Zn1 Zn 0.397 0.432 0.795 1
Zn2 Zn 0.603 0.568 0.205 1
```

***

No. 7
Computed, not measured: a relaxed Tc3TeN crystal at the GGA-PBE level of DFT.

Symmetry   No. 221
D(E_F)   0.639 states/eV/atom
Distance to the lowest polymorph of the same formula   0 meV per atom

Structure (CIF):
```
data_Tc3TeN
_symmetry_space_group_name_H-M 'P 1'
_symmetry_Int_Tables_number 1
_cell_length_a 4.140
_cell_length_b 4.140
_cell_length_c 4.140
_cell_angle_alpha 90.00
_cell_angle_beta 90.00
_cell_angle_gamma 90.00
loop_
_symmetry_equiv_pos_as_xyz
'x,y,z'
loop_
_atom_site_label
_atom_site_type_symbol
_atom_site_fract_x
_atom_site_fract_y
_atom_site_fract_z
_atom_site_occupancy
Tc1 Tc 0.000 0.000 0.500 1
Tc2 Tc 0.000 0.500 0.000 1
Tc3 Tc 0.500 0.000 0.000 1
Te1 Te 0.500 0.500 0.500 1
N1 N 0.000 0.000 0.000 1
```

***

No. 8
Computed, not measured: a relaxed CaTaSb2 crystal at the GGA-PBE level of DFT.

Symmetry   No. 65
D(E_F)   0.831 states/eV/atom
Distance to the lowest polymorph of the same formula   331 meV per atom

Structure (CIF):
```
data_CaTaSb2
_symmetry_space_group_name_H-M 'P 1'
_symmetry_Int_Tables_number 1
_cell_length_a 5.070
_cell_length_b 5.070
_cell_length_c 3.692
_cell_angle_alpha 90.00
_cell_angle_beta 90.00
_cell_angle_gamma 99.29
loop_
_symmetry_equiv_pos_as_xyz
'x,y,z'
loop_
_atom_site_label
_atom_site_type_symbol
_atom_site_fract_x
_atom_site_fract_y
_atom_site_fract_z
_atom_site_occupancy
Ca1 Ca 0.000 0.000 0.000 1
Ta1 Ta 0.500 0.500 0.000 1
Sb1 Sb 0.000 0.500 0.500 1
Sb2 Sb 0.500 0.000 0.500 1
```

***

No. 9
Computed, not measured: a relaxed LaBeFeSn2 crystal at the GGA-PBE level of DFT.

Formation energy from the elements   241 meV per atom
Symmetry   No. 123
D(E_F)   1.212 states/eV/atom

Structure (CIF):
```
data_LaBeFeSn2
_symmetry_space_group_name_H-M 'P 1'
_symmetry_Int_Tables_number 1
_cell_length_a 4.971
_cell_length_b 4.971
_cell_length_c 4.483
_cell_angle_alpha 90.00
_cell_angle_beta 90.00
_cell_angle_gamma 90.00
loop_
_symmetry_equiv_pos_as_xyz
'x,y,z'
loop_
_atom_site_label
_atom_site_type_symbol
_atom_site_fract_x
_atom_site_fract_y
_atom_site_fract_z
_atom_site_occupancy
La1 La 0.000 0.000 0.000 1
Be1 Be 0.500 0.500 0.500 1
Fe1 Fe 0.500 0.500 0.000 1
Sn1 Sn 0.000 0.500 0.500 1
Sn2 Sn 0.500 0.000 0.500 1
```

***

No. 10
Computed, not measured: a relaxed TaRe2Pt crystal at the GGA-PBE level of DFT.

Formation energy from the elements   72 meV per atom
Symmetry   No. 216
D(E_F)   0.800 states/eV/atom
Distance to the lowest polymorph of the same formula   351 meV per atom

Structure (CIF):
```
data_TaRe2Pt
_symmetry_space_group_name_H-M 'P 1'
_symmetry_Int_Tables_number 1
_cell_length_a 4.491
_cell_length_b 4.491
_cell_length_c 4.491
_cell_angle_alpha 60.00
_cell_angle_beta 60.00
_cell_angle_gamma 60.00
loop_
_symmetry_equiv_pos_as_xyz
'x,y,z'
loop_
_atom_site_label
_atom_site_type_symbol
_atom_site_fract_x
_atom_site_fract_y
_atom_site_fract_z
_atom_site_occupancy
Ta1 Ta 0.000 0.000 0.000 1
Re1 Re 0.500 0.500 0.500 1
Re2 Re 0.750 0.750 0.750 1
Pt1 Pt 0.250 0.250 0.250 1
```

***

No. 11
Computed, not measured: a relaxed BaTaOs2 crystal at the GGA-PBE level of DFT.

Formation energy from the elements   610 meV per atom
Symmetry   No. 10
D(E_F)   1.203 states/eV/atom
Distance to the lowest polymorph of the same formula   257 meV per atom

Structure (CIF):
```
data_BaTaOs2
_symmetry_space_group_name_H-M 'P 1'
_symmetry_Int_Tables_number 1
_cell_length_a 2.991
_cell_length_b 4.174
_cell_length_c 7.205
_cell_angle_alpha 90.00
_cell_angle_beta 98.55
_cell_angle_gamma 90.00
loop_
_symmetry_equiv_pos_as_xyz
'x,y,z'
loop_
_atom_site_label
_atom_site_type_symbol
_atom_site_fract_x
_atom_site_fract_y
_atom_site_fract_z
_atom_site_occupancy
Ba1 Ba 0.000 0.000 0.000 1
Ta1 Ta 0.500 0.000 0.500 1
Os1 Os 0.247 0.500 0.666 1
Os2 Os 0.753 0.500 0.334 1
```